The following is a DFT calculation (PBEsol) of an optimized crystal structure of MgSe2.

```
6
Lattice="-0.451 2.673 0.801 -4.784 0.752 -5.207 -5.137 -2.186 4.404" Properties=species:S:1:pos:R:3 pbc="T T T"
Mg -4.960 -0.717 -0.402
Mg -0.226 1.336 0.400
Se -7.746 -1.120 -0.627
Se -2.174 -0.314 -0.176
Se -5.108 1.263 -2.108
Se -5.263 -0.025 2.105
```

Values from the calculation:
Its formation energy from raw total energies is -353 meV per atom.

---

The following is a DFT calculation (PBEsol) of an optimized crystal structure of MgSe2.

```
6
Lattice="-3.254 -1.525 1.927 -1.521 -2.326 -4.408 3.401 -5.245 1.594" Properties=species:S:1:pos:R:3 pbc="T T T"
Mg 0.000 0.000 0.000
Mg -0.687 -4.548 -0.443
Se 1.795 -3.626 0.161
Se 0.086 -3.944 -2.975
Se 0.360 -7.022 -0.632
Se -1.734 -2.074 -0.254
```

Values from the calculation:
Its formation energy from raw total energies is -795 meV per atom.